VASP calculation (PBE) on a relaxed structure of CsSr3Pd.

Computed properties:
- Total energy: -5.0 eV per cell
- Symmetry: Pm-3m, No. 221

Unit cell a=6.170 b=6.170 c=6.170 alpha=90.00 beta=90.00 gamma=90.00
Each line ends with the local moment (μB).
Element x y z (fractional)
Cs 0.000 0.000 0.000  0.20
Sr 0.000 0.500 0.000  0.13
Sr 0.000 0.000 0.500  0.19
Sr 0.500 0.000 0.000  0.09
Pd 0.500 0.500 0.500  0.00

=====

VASP calculation (PBE) on a relaxed structure of Sc2ZnCd.

Computed properties:
- Total energy: -16.1 eV per cell
- Symmetry: P4/mmm, No. 123

Unit cell a=4.863 b=3.477 c=4.863 alpha=90.00 beta=90.00 gamma=90.00
Element x y z (fractional)
Sc 0.000 0.125 0.875
Sc 0.500 0.125 0.375
Zn 0.000 0.625 0.375
Cd 0.500 0.625 0.875

=====

VASP calculation (PBE) on a relaxed structure of NaTiIrW2.

Computed properties:
- Total energy: -35.8 eV per cell
- Symmetry: P4/mmm, No. 123

Unit cell a=4.773 b=4.831 c=4.773 alpha=90.00 beta=90.00 gamma=90.00
Element x y z (fractional)
Na 0.000 0.500 0.000
Ir 0.000 0.000 0.000
W 0.000 0.000 0.500
W 0.500 0.000 0.000
Ti 0.500 0.500 0.500